Record 1
Here is a relaxed structure of Sc2GaRhBr from Alexandria via LeMat-Bulk. Energies are from GGA-PBEsol.

a = 5.109 Å, b = 5.109 Å, c = 4.455 Å
α = 90.00°, β = 90.00°, γ = 90.00°
Element x y z (fractional)
Sc1 0.000 0.500 0.000
Sc2 0.500 0.000 0.000
Ga1 0.000 0.000 0.000
Rh1 0.000 0.000 0.500
Br1 0.500 0.500 0.500

Calculated values
space group = P4/mmm, No. 123
ΔE_f (raw) = 0.28 eV/f.u.

Record 2
Here is a relaxed structure of GaRhSe2Br from Alexandria via LeMat-Bulk. Energies are from GGA-PBEsol.

a = 4.833 Å, b = 4.833 Å, c = 4.944 Å
α = 90.00°, β = 90.00°, γ = 90.00°
Element x y z (fractional)
Ga1 0.000 0.000 0.000
Rh1 0.500 0.500 0.500
Se1 0.000 0.500 0.000
Se2 0.500 0.000 0.000
Br1 0.000 0.000 0.500

Calculated values
space group = P4/mmm, No. 123
ΔE_f (raw) = 3.83 eV/f.u.